Entry 1:
# GGA-PBE Ca2MnH, optimized geometry
data_Ca2MnH
_chemical_formula_sum 'Ca8 Mn4 H4'
_symmetry_space_group_name_H-M 'F m -3 m'
_symmetry_Int_Tables_number 225
_symmetry_space_group_name_Hall '-F 4 2 3'
_cell_length_a 7.2192
_cell_length_b 7.2192
_cell_length_c 7.2192
_cell_angle_alpha 90.00
_cell_angle_beta 90.00
_cell_angle_gamma 90.00
loop_
_atom_site_label
_atom_site_fract_x
_atom_site_fract_y
_atom_site_fract_z
Ca1 0.2500 0.2500 0.2500
Mn1 0.0000 0.0000 0.0000
H1 0.0000 0.0000 0.5000
# **Energy relative to the lowest polymorph listed for this composition**: 1.48 eV/f.u.
# **DOS at the Fermi energy**: 4.7 states/eV/f.u.

---

Entry 2:
# GGA-PBE Pa2NbN4, optimized geometry
data_Pa2NbN4
_chemical_formula_sum 'Pa8 Nb4 N16'
_symmetry_space_group_name_H-M 'C m c m'
_symmetry_Int_Tables_number 63
_symmetry_space_group_name_Hall '-C 2c 2'
_cell_length_a 3.1907
_cell_length_b 11.3843
_cell_length_c 10.5693
_cell_angle_alpha 90.00
_cell_angle_beta 90.00
_cell_angle_gamma 90.00
loop_
_atom_site_label
_atom_site_fract_x
_atom_site_fract_y
_atom_site_fract_z
Pa1 0.0000 0.1287 0.0812
Nb1 0.0000 0.3698 0.2500
N1 0.0000 0.0062 0.2500
N2 0.0000 0.2213 0.6246
N3 0.0000 0.5000 0.0000
# **DOS at the Fermi energy**: 4.0 states/eV/f.u.
# **Raw formation energy**: -8.029 eV/f.u.

---

Entry 3:
# GGA-PBE Ti7BiTe2H2, optimized geometry
data_Ti7BiTe2H2
_chemical_formula_sum 'Ti14 Bi2 Te4 H4'
_symmetry_space_group_name_H-M 'I 4/m m m'
_symmetry_Int_Tables_number 139
_symmetry_space_group_name_Hall '-I 4 2'
_cell_length_a 4.0837
_cell_length_b 4.0837
_cell_length_c 22.7706
_cell_angle_alpha 90.00
_cell_angle_beta 90.00
_cell_angle_gamma 90.00
loop_
_atom_site_label
_atom_site_fract_x
_atom_site_fract_y
_atom_site_fract_z
Ti1 0.0000 0.0000 0.0000
Ti2 0.0000 0.0000 0.1941
Ti3 0.0000 0.5000 0.0969
Bi1 0.0000 0.0000 0.5000
Te1 0.0000 0.0000 0.3164
H1 0.0000 0.0000 0.0907
# **DOS at the Fermi energy**: 11.4 states/eV/f.u.
# **Electronic total energy**: -6.403 eV/atom

---

Entry 4:
# GGA-PBE Ac2TlSn4Ir3, optimized geometry
data_Ac2TlSn4Ir3
_chemical_formula_sum 'Ac2 Tl1 Sn4 Ir3'
_symmetry_space_group_name_H-M 'P -4 m 2'
_symmetry_Int_Tables_number 115
_cell_length_a 4.6997
_cell_length_b 4.6997
_cell_length_c 11.1060
_cell_angle_alpha 90.00
_cell_angle_beta 90.00
_cell_angle_gamma 90.00
loop_
_symmetry_equiv_pos_as_xyz
'x,y,z'
'y,-x,-z'
'-x,-y,z'
'-y,x,-z'
'-x,y,z'
'-y,-x,-z'
'x,-y,z'
'y,x,-z'
loop_
_atom_site_label
_atom_site_fract_x
_atom_site_fract_y
_atom_site_fract_z
Ac1 0.0000 0.5000 0.2418
Tl1 0.0000 0.0000 0.5000
Sn1 0.0000 0.0000 0.0000
Sn2 0.0000 0.5000 0.6458
Sn3 0.5000 0.5000 0.0000
Ir1 0.0000 0.5000 0.8801
Ir2 0.5000 0.5000 0.5000
# **DOS at the Fermi energy**: 5.0 states/eV/f.u.
# **Formation energy from the elements**: -449 meV per atom

---

Question: What is the formula in the second record?
Answer: Pa2NbN4

---

Please write out number 2 again, unchanged.
# GGA-PBE Pa2NbN4, optimized geometry
data_Pa2NbN4
_chemical_formula_sum 'Pa8 Nb4 N16'
_symmetry_space_group_name_H-M 'C m c m'
_symmetry_Int_Tables_number 63
_symmetry_space_group_name_Hall '-C 2c 2'
_cell_length_a 3.1907
_cell_length_b 11.3843
_cell_length_c 10.5693
_cell_angle_alpha 90.00
_cell_angle_beta 90.00
_cell_angle_gamma 90.00
loop_
_atom_site_label
_atom_site_fract_x
_atom_site_fract_y
_atom_site_fract_z
Pa1 0.0000 0.1287 0.0812
Nb1 0.0000 0.3698 0.2500
N1 0.0000 0.0062 0.2500
N2 0.0000 0.2213 0.6246
N3 0.0000 0.5000 0.0000
# **DOS at the Fermi energy**: 4.0 states/eV/f.u.
# **Raw formation energy**: -8.029 eV/f.u.

---

Question: Which value of DOS at the Fermi energy does entry 2 give?
Answer: 4.0 states/eV/f.u.